Density functional theory data (GGA-PBE) for KRb3Cd2Pb2 after structural relaxation.

extended XYZ file:
```
8
Lattice="7.190 0.000 0.000 0.000 6.742 0.000 -1.818 0.000 7.069" Properties=species:S:1:pos:R:3 pbc="T T T"
K 0.000 0.000 0.000
Rb 2.471 3.371 0.373
Rb 4.036 0.000 2.461
Rb 3.833 3.371 5.001
Cd 0.341 1.687 3.704
Cd 0.341 5.056 3.704
Pb 1.712 0.000 5.637
Pb 6.095 3.371 1.819
```

Properties
- symmetry = No. 6
- VASP energy (eV per cell) = -14.6
- crystal system = monoclinic